No. 1
Below is a relaxed structure of CaLaReTe2, with properties calculated at the GGA-PBE level.

```
CaLaReTe2
1.0
5.682 0.000 0.000
0.000 5.195 0.000
0.000 0.000 5.682
La Re Ca Te
1 1 1 2
Cartesian
2.841 2.598 2.841
0.000 2.598 0.000
0.000 0.000 0.000
0.000 0.000 2.841
2.841 0.000 0.000
```

- DFT total energy (eV per atom) = -4.56
- D(E_F) (states/eV/atom) = 0.737
- spin magnetization (μB/f.u.) = 3.934
- raw formation energy (eV per atom) = 0.5719
- density (g/cm3) = 6.14



No. 2
Below is a relaxed structure of CaLaRh2, with properties calculated at the GGA-PBE level.

```
CaLaRh2
1.0
-2.630 -3.971 -1.066
0.500 -4.050 2.677
-3.597 -1.416 2.979
Rh Ca La
2 1 1
Cartesian
0.000 0.000 0.000
-1.432 -2.359 1.148
-2.864 -4.718 2.295
-4.295 -7.077 3.443
```

- DFT total energy (eV per atom) = -5.56
- D(E_F) (states/eV/atom) = 1.441
- spin magnetization (μB/f.u.) = 0.000
- formation energy from the elements (eV/atom) = -0.15
- density (g/cm3) = 7.77



No. 3
Below is a relaxed structure of CaLaRh2, with properties calculated at the GGA-PBE level.

```
CaLaRh2
1.0
-2.196 2.742 4.749
1.968 -1.215 5.436
2.121 1.302 -5.357
La Rh Ca
1 2 1
Cartesian
-0.094 2.404 2.242
0.000 0.000 0.000
1.987 0.425 2.585
-0.114 0.763 5.092
```

- DFT total energy (eV per atom) = -5.77
- D(E_F) (states/eV/atom) = 0.775
- spin magnetization (μB/f.u.) = 0.000
- formation energy from the elements (eV/atom) = -0.36
- density (g/cm3) = 7.41



No. 4
Below is a relaxed structure of CaLa4Rh, with properties calculated at the GGA-PBE level.

```
CaLa4Rh
1.0
6.045 -2.153 0.954
1.548 -6.108 -1.540
3.860 -1.186 -5.077
La Ca Rh
4 1 1
Cartesian
6.211 -4.152 -4.612
7.274 -4.622 -1.678
5.087 -6.546 -2.891
4.334 -3.575 -2.142
0.000 0.000 0.000
8.590 -7.086 -4.246
```

- DFT total energy (eV per atom) = -4.38
- D(E_F) (states/eV/atom) = 1.785
- spin magnetization (μB/f.u.) = 0.000
- formation energy from the elements (eV/atom) = 0.46
- density (g/cm3) = 6.01



No. 5
Below is a relaxed structure of CaLaRh2, with properties calculated at the GGA-PBE level.

```
CaLaRh2
1.0
-4.681 -0.308 -1.415
-0.143 -4.669 1.481
-1.050 1.068 3.253
Rh Ca La
2 1 1
Cartesian
0.000 0.000 0.000
-2.412 -2.488 0.033
-2.866 0.380 0.919
-0.597 -1.800 2.367
```

- DFT total energy (eV per atom) = -5.94
- D(E_F) (states/eV/atom) = 0.603
- spin magnetization (μB/f.u.) = 0.000
- formation energy from the elements (eV/atom) = -0.53
- density (g/cm3) = 7.43



No. 6
Below is a relaxed structure of CaLaRh2, with properties calculated at the GGA-PBE level.

```
CaLaRh2
1.0
7.525 0.000 0.000
0.000 7.525 0.000
3.763 3.763 3.200
Rh La Ca
4 2 2
Cartesian
5.761 1.881 0.800
9.406 9.524 2.400
5.644 5.526 2.400
1.764 5.644 0.800
0.000 0.000 0.000
7.525 3.763 1.600
3.763 3.763 0.000
3.763 7.525 1.600
```

- DFT total energy (eV per atom) = -5.70
- D(E_F) (states/eV/atom) = 0.730
- spin magnetization (μB/f.u.) = 0.000
- formation energy from the elements (eV/atom) = -0.29
- density (g/cm3) = 7.05



No. 7
Below is a relaxed structure of CaLaRh2, with properties calculated at the GGA-PBE level.

```
CaLaRh2
1.0
3.909 0.012 0.000
-0.011 3.909 0.000
0.000 0.000 6.083
La Rh Ca
1 2 1
Cartesian
1.949 1.961 5.121
0.000 0.000 5.839
1.949 1.961 1.631
0.000 0.000 2.617
```

- DFT total energy (eV per atom) = -5.70
- D(E_F) (states/eV/atom) = 0.680
- spin magnetization (μB/f.u.) = 0.000
- formation energy from the elements (eV/atom) = -0.29
- density (g/cm3) = 6.87



No. 8
Below is a relaxed structure of Ca2La2Rh, with properties calculated at the GGA-PBE level.

```
Ca2La2Rh
1.0
-3.609 1.949 -3.803
-2.235 -5.104 -0.495
-3.818 1.258 4.269
La Ca Rh
2 2 1
Cartesian
-1.805 0.975 -1.901
-1.118 -2.552 -0.247
-4.831 -0.948 -0.014
-1.909 0.629 2.135
0.000 0.000 0.000
```

- DFT total energy (eV per atom) = -4.55
- D(E_F) (states/eV/atom) = 0.957
- spin magnetization (μB/f.u.) = 0.000
- formation energy from the elements (eV/atom) = -0.31
- density (g/cm3) = 4.17